a:
Entry from Alexandria: an optimized crystal structure of Cs2KPb2 (PBE).

Lattice parameters (Å, degrees): 7.3937 7.8351 11.1325 101.52 90.00 118.15
Fractional coordinates of all 10 atoms:
Pb  0.9555  0.2985  0.9890
Pb  0.3429  0.2985  0.4890
Pb  0.0445  0.7015  0.0110
Pb  0.6571  0.7015  0.5110
Cs  0.5421  0.7030  0.8638
K  0.1440  0.0000  0.7500
Cs  0.1609  0.7030  0.3638
K  0.8560  0.0000  0.2500
Cs  0.8391  0.2970  0.6362
Cs  0.4579  0.2970  0.1362

Output
Fermi-level density of states in states/eV/f.u.: 2.8
Space group: C2/c, No. 15

b:
Entry from Alexandria: an optimized crystal structure of Cs2KPb2 (PBE).

Lattice parameters (Å, degrees): 11.3660 11.3660 3.9022 90.00 90.00 90.00
Fractional coordinates of all 10 atoms:
Cs  0.1939  0.3061  0.0000
Pb  0.9026  0.4026  0.5000
Pb  0.0974  0.5974  0.5000
Pb  0.5974  0.9026  0.5000
Cs  0.6939  0.1939  0.0000
K  0.0000  0.0000  0.0000
Cs  0.8061  0.6939  0.0000
K  0.5000  0.5000  0.0000
Cs  0.3061  0.8061  0.0000
Pb  0.4026  0.0974  0.5000

Output
Fermi-level density of states in states/eV/f.u.: 3.3
Space group: P4/mbm, No. 127

c:
Entry from Alexandria: an optimized crystal structure of Cs2KPb2 (PBE).

Lattice parameters (Å, degrees): 5.9651 5.9651 9.0608 70.78 70.78 90.00
Fractional coordinates of all 5 atoms:
Cs  0.2500  0.7500  0.5000
Pb  0.4122  0.4122  0.1756
Pb  0.5878  0.5878  0.8244
Cs  0.7500  0.2500  0.5000
K  0.0000  0.0000  0.0000

Output
Fermi-level density of states in states/eV/f.u.: 5.0
Space group: I4/mmm, No. 139

Name the least stable of them. b.

a:
Entry from Alexandria: an optimized crystal structure of Cs2KPb (PBE).

Lattice parameters (Å, degrees): 4.4217 4.4217 16.2765 82.19 82.19 60.00
Fractional coordinates of all 4 atoms:
K  0.5000  0.5000  0.5000
Cs  0.9227  0.9227  0.2320
Cs  0.0773  0.0773  0.7680
Pb  0.0000  0.0000  0.0000

Output
Fermi-level density of states in states/eV/f.u.: 5.1
Space group: R-3m, No. 166

b:
Entry from Alexandria: an optimized crystal structure of Cs2KPb (PBE).

Lattice parameters (Å, degrees): 4.3861 4.3861 13.4687 90.00 90.00 90.00
Site moments in Bohr magnetons follow the coordinates.
Fractional coordinates of all 4 atoms:
K  0.5000  0.5000  0.5000  0.00
Cs  0.0000  0.0000  0.1871  0.01
Pb  0.5000  0.5000  0.0000  0.08
Cs  0.0000  0.0000  0.8129  0.01

Output
Fermi-level density of states in states/eV/f.u.: 4.8
Space group: P4/mmm, No. 123

c:
Entry from Alexandria: an optimized crystal structure of Cs2KPb (PBE).

Lattice parameters (Å, degrees): 6.8363 6.8363 6.8363 60.00 60.00 60.00
Site moments in Bohr magnetons follow the coordinates.
Fractional coordinates of all 4 atoms:
Cs  0.2500  0.2500  0.2500  0.02
K  0.0000  0.0000  0.0000  0.00
Cs  0.7500  0.7500  0.7500  0.02
Pb  0.5000  0.5000  0.5000  0.26

Output
Fermi-level density of states in states/eV/f.u.: 3.9
Space group: Fm-3m, No. 225

Name the least stable of them. a.